Entry 1:
The following is a DFT calculation (PBE) of Np2BeTlO8 after structural relaxation.

Properties
ΔE_f (raw)	-49.8	kcal/mol of atoms
magnetization	6.007	Bohr magnetons per cell
electronic total energy	-8.13	eV per atom

a = 6.793 Å, b = 7.369 Å, c = 6.783 Å
α = 90.00°, β = 96.80°, γ = 90.00°
Space group C2/m (No. 12)
Unique sites:
Np  0.021  0.000  0.259 [4 per cell]
Be  0.000  0.500  0.500 [2 per cell]
Tl  0.000  0.500  0.000 [2 per cell]
O  0.000  0.174  0.000 [4 per cell]
O  0.000  0.174  0.500 [4 per cell]
O  0.168  0.500  0.681 [4 per cell]
O  0.218  0.500  0.244 [4 per cell]

---

Entry 2:
The following is a DFT calculation (PBE) of LaZnSi after structural relaxation.

Properties
ΔE_f (raw)	2.0	kcal/mol of atoms
magnetization	0.000	Bohr magnetons per cell
electronic total energy	-3.79	eV per atom

a = 6.957 Å, b = 6.957 Å, c = 6.957 Å
α = 90.00°, β = 90.00°, γ = 90.00°
Space group F-43m (No. 216)
Unique sites:
La  0.000  0.000  0.000 [4 per cell]
Zn  0.250  0.250  0.750 [4 per cell]
Si  0.250  0.250  0.250 [4 per cell]

---

Q: Which value of ΔE_f (raw) does entry 2 give?
A: 2.0 kcal/mol of atoms